1.
DFT (meta-GGA SCAN) results for a crystal of KBaSr2 relaxed with PBEsol.

Properties
calculated formation energy: 0.081 eV/atom
calculated volume: 228.5 Å³ per cell
ΔE to the lowest computed polymorph: 0.0262 eV per atom
magnetization: 0.25 μB/cell

```
data_KBaSr2
_cell_length_a 4.173
_cell_length_b 6.880
_cell_length_c 8.070
_cell_angle_alpha 90.00
_cell_angle_beta 99.55
_cell_angle_gamma 90.00
_space_group_name_H-M_alt 'P 1 m 1'
_space_group_IT_number 6
_space_group_name_Hall 'P -2y'
loop_
_atom_site_label
_atom_site_type_symbol
_atom_site_fract_x
_atom_site_fract_y
_atom_site_fract_z
K1 K 0.000 0.000 0.000
Ba1 Ba 0.243 0.500 0.743
Sr1 Sr 0.514 0.000 0.495
Sr2 Sr 0.783 0.500 0.257
```


2.
DFT (meta-GGA SCAN) results for a crystal of KBaSr2 relaxed with PBEsol.

Properties
calculated formation energy: 0.096 eV/atom
calculated volume: 457.9 Å³ per cell
ΔE to the lowest computed polymorph: 0.0406 eV per atom
magnetization: 0.49 μB/cell

```
data_KBaSr2
_cell_length_a 4.618
_cell_length_b 7.049
_cell_length_c 14.065
_cell_angle_alpha 90.00
_cell_angle_beta 90.00
_cell_angle_gamma 90.00
_space_group_name_H-M_alt 'I m m 2'
_space_group_IT_number 44
_space_group_name_Hall 'I 2 -2'
loop_
_atom_site_label
_atom_site_type_symbol
_atom_site_fract_x
_atom_site_fract_y
_atom_site_fract_z
K1 K 0.000 0.000 0.000
Ba1 Ba 0.000 0.500 0.249
Sr1 Sr 0.000 0.000 0.491
Sr2 Sr 0.000 0.500 0.743
```


3.
DFT (meta-GGA SCAN) results for a crystal of KBaSr2 relaxed with PBEsol.

Properties
calculated formation energy: 0.060 eV/atom
calculated volume: 454.2 Å³ per cell
ΔE to the lowest computed polymorph: 0.0044 eV per atom
magnetization: 0.25 μB/cell

```
data_KBaSr2
_cell_length_a 4.743
_cell_length_b 6.819
_cell_length_c 14.044
_cell_angle_alpha 90.00
_cell_angle_beta 90.00
_cell_angle_gamma 90.00
_space_group_name_H-M_alt 'C m m m'
_space_group_IT_number 65
_space_group_name_Hall '-C 2 2'
loop_
_atom_site_label
_atom_site_type_symbol
_atom_site_fract_x
_atom_site_fract_y
_atom_site_fract_z
K1 K 0.000 0.000 0.000
Ba1 Ba 0.000 0.000 0.500
Sr1 Sr 0.000 0.500 0.260
```